Crystalline RbGa2Ag3 at its relaxed geometry, computed with PBE-GGA.

a b c (Å): 5.599 7.261 7.261
angles (deg): 105.46 90.00 90.00
Fractional positions:
Rb: 0.250 0.344 0.344
Rb: 0.750 0.656 0.656
Ga: 0.500 0.798 0.202
Ga: 0.000 0.798 0.202
Ga: 0.000 0.202 0.798
Ga: 0.500 0.202 0.798
Ag: 0.750 0.475 0.062
Ag: 0.750 0.062 0.475
Ag: 0.250 0.525 0.938
Ag: 0.750 0.063 0.063
Ag: 0.250 0.937 0.937
Ag: 0.250 0.938 0.525

Output
ΔH_f (0 K)   -77 meV/atom